## Fe2Se2O7 (PBE with a Hubbard U)

Data for a geometry-optimized Fe2Se2O7 structure.

Results
The value obtained for the final energy is -0.210 hartree per atom. For the density, the calculation gives 3.93 Mg/m³.

Cell lengths 5.922, 5.922, 10.295 Å; angles 71.32, 71.32, 89.21 degrees
Fractional coordinates of all 22 atoms:
Fe 0.264 0.628 0.474
Fe 0.372 0.736 0.026
Fe 0.628 0.264 0.974
Fe 0.736 0.372 0.526
Se 0.800 0.809 0.200
Se 0.809 0.800 0.700
Se 0.191 0.200 0.300
Se 0.200 0.191 0.800
O 0.336 0.989 0.389
O 0.611 0.892 0.094
O 0.627 0.580 0.355
O 0.963 0.037 0.250
O 0.989 0.336 0.889
O 0.892 0.611 0.594
O 0.580 0.627 0.855
O 0.420 0.373 0.145
O 0.108 0.389 0.406
O 0.011 0.664 0.111
O 0.037 0.963 0.750
O 0.373 0.420 0.645
O 0.389 0.108 0.906
O 0.664 0.011 0.611